[1]
DFT (PBE) results for a geometry-optimized UPa3Tl4S12 structure.

Structure (extended XYZ):
```
20
Lattice="-5.239 5.239 5.239 5.239 -5.239 5.239 5.239 5.239 -5.239" Properties=species:S:1:pos:R:3 pbc="T T T"
U 0.000 0.000 0.000
Pa 5.239 0.000 0.000
Pa 0.000 5.239 0.000
Pa 0.000 0.000 5.239
Tl 2.620 2.620 -2.620
Tl 2.620 -2.620 2.620
Tl -2.620 2.620 2.620
Tl 2.620 2.620 2.620
S 2.611 0.000 0.000
S 7.868 0.000 0.000
S 0.000 2.611 0.000
S 0.000 0.000 2.611
S 5.239 2.620 0.000
S 5.239 0.000 2.620
S 2.620 5.239 0.000
S 2.620 0.000 5.239
S 0.000 5.239 2.620
S 0.000 2.620 5.239
S 0.000 7.868 0.000
S 0.000 0.000 7.868
```

Results
Its calculated total energy is -0.4474 Ry/atom. Its space group is Im-3m.

---

[2]
DFT (PBE) results for a geometry-optimized Cu5Pd3I12 structure.

Structure (extended XYZ):
```
80
Lattice="-8.667 8.667 8.667 8.667 -8.667 8.667 8.667 8.667 -8.667" Properties=species:S:1:pos:R:3 pbc="T T T"
Cu 0.000 0.000 0.000
Cu 4.333 4.333 -4.333
Cu 4.333 -4.333 4.333
Cu 8.667 0.000 0.000
Cu 13.000 2.167 0.000
Cu 8.667 -4.333 6.500
Cu 6.500 8.667 -4.333
Cu 6.500 0.000 4.333
Cu 4.333 6.500 0.000
Cu 8.667 4.333 2.167
Cu -4.333 4.333 4.333
Cu 0.000 8.667 0.000
Cu 0.000 0.000 8.667
Cu 4.333 4.333 4.333
Cu 0.000 4.333 6.500
Cu 4.333 2.167 8.667
Cu 2.167 8.667 4.333
Cu 2.167 0.000 13.000
Cu 0.000 13.000 2.167
Cu -4.333 6.500 8.667
Pd 4.333 2.167 0.000
Pd 8.667 4.333 -2.167
Pd 2.167 0.000 4.333
Pd 10.834 0.000 4.333
Pd 0.000 4.333 2.167
Pd 4.333 -2.167 8.667
Pd 4.333 10.834 0.000
Pd 8.667 4.333 6.500
Pd -2.167 8.667 4.333
Pd 6.500 8.667 4.333
Pd 0.000 4.333 10.834
Pd 4.333 6.500 8.667
I 7.052 -3.947 4.300
I 14.615 -0.034 0.387
I 7.052 4.720 -4.300
I 5.948 0.034 0.387
I 8.701 8.280 -5.948
I 4.300 -1.615 3.947
I 3.947 4.300 -1.615
I 9.054 2.719 -0.034
I 4.720 -4.300 7.052
I 8.280 -5.948 8.701
I 4.300 7.052 -3.947
I 8.701 0.387 2.719
I 8.701 -0.387 5.948
I 12.967 1.615 3.947
I 4.720 4.300 1.615
I 8.280 5.948 -0.034
I 0.387 5.948 0.034
I 12.614 4.367 1.615
I 0.034 0.387 5.948
I 4.300 1.615 4.720
I -1.615 3.947 4.300
I 5.948 -0.034 8.280
I 5.948 8.701 -0.387
I 7.052 3.947 4.367
I 1.615 4.720 4.300
I 2.719 -0.034 9.054
I 2.719 8.701 0.387
I 10.282 4.720 4.367
I 4.367 7.052 3.947
I 8.633 8.280 2.719
I -3.947 4.300 7.052
I 8.280 2.719 8.633
I 0.387 2.719 8.701
I 3.947 4.367 7.052
I -4.300 7.052 4.720
I -0.034 9.054 2.719
I -0.034 8.280 5.948
I 4.367 1.615 12.614
I 0.387 14.615 -0.034
I 3.947 12.967 1.615
I -0.387 5.948 8.701
I 4.720 4.367 10.282
I 4.367 10.282 4.720
I -0.034 0.387 14.615
I 2.719 8.633 8.280
I 1.615 3.947 12.967
I -5.948 8.701 8.280
I 1.615 12.614 4.367
```

Results
Its calculated total energy is -0.1979 Ry/atom. Its space group is Ia-3d.

---

[3]
DFT (PBE) results for a geometry-optimized La3Tb6Y2Er structure.

Structure (extended XYZ):
```
12
Lattice="3.123 -5.413 0.000 3.123 5.413 0.000 -2.085 0.000 11.758" Properties=species:S:1:pos:R:3 pbc="T T T"
La 0.000 0.000 0.000
La 3.123 1.804 0.000
La 3.123 -1.804 0.000
Tb 1.045 1.799 3.006
Tb 0.002 0.000 8.754
Tb 1.045 -1.799 3.006
Tb 3.117 1.799 8.752
Tb 4.160 0.000 3.004
Tb 3.117 -1.799 8.752
Y 2.081 3.608 5.879
Y 2.081 -3.608 5.879
Er 2.081 0.000 5.879
```

Results
Its space group is C2/m. The calculation puts the formation energy at 0.022 eV/atom.

---

[4]
DFT (PBE) results for a geometry-optimized Ac6PdRu2I3 structure.

Structure (extended XYZ):
```
12
Lattice="3.789 -6.562 0.000 3.789 6.562 0.000 -2.521 0.000 8.699" Properties=species:S:1:pos:R:3 pbc="T T T"
Ac -0.047 2.277 7.080
Ac 1.159 0.000 1.615
Ac -0.047 -2.277 7.080
Ac 5.103 2.277 1.619
Ac 3.898 0.000 7.083
Ac 5.103 -2.277 1.619
Pd 3.789 0.000 0.000
Ru 3.789 4.376 0.000
Ru 3.789 -4.376 0.000
I -1.260 0.000 4.349
I 2.528 2.197 4.349
I 2.528 -2.197 4.349
```

Results
Its calculated total energy is -0.3869 Ry/atom. Its space group is C2/m.

---

[5]
DFT (PBE) results for a geometry-optimized ZnCrPb2 structure.

Structure (extended XYZ):
```
4
Lattice="3.307 0.000 0.000 0.000 3.390 0.000 0.000 0.000 8.387" Properties=species:S:1:pos:R:3 pbc="T T T"
Zn 0.000 0.000 0.000
Cr 1.654 1.695 1.279
Pb 0.000 0.000 3.284
Pb 1.654 1.695 6.307
```

Results
Its space group is Pmm2. The calculation puts the formation energy at 0.306 eV/atom.

---

[6]
DFT (PBE) results for a geometry-optimized BaCaCd2 structure.

Structure (extended XYZ):
```
4
Lattice="3.991 0.000 0.000 0.000 4.117 0.000 0.000 0.000 8.084" Properties=species:S:1:pos:R:3 pbc="T T T"
Ba 0.000 0.000 0.000
Ca 0.000 0.000 4.042
Cd 1.995 2.059 2.309
Cd 1.995 2.059 5.776
```

Results
Its space group is Pmmm. The calculation puts the formation energy at -0.322 eV/atom.

---

[7]
DFT (PBE) results for a geometry-optimized Rb3Pd2I7 structure.

Structure (extended XYZ):
```
12
Lattice="-2.840 2.840 14.665 2.840 -2.840 14.665 2.840 2.840 -14.665" Properties=species:S:1:pos:R:3 pbc="T T T"
Rb 0.000 0.000 0.000
Rb 0.000 0.000 5.265
Rb 0.000 0.000 24.064
Pd 0.000 0.000 11.849
Pd 0.000 0.000 17.480
I 2.840 0.000 2.765
I 0.000 0.000 9.039
I 2.840 0.000 11.900
I 0.000 0.000 14.665
I 0.000 2.840 2.765
I 0.000 0.000 20.290
I 0.000 2.840 11.900
```

Results
Its calculated total energy is -0.2079 Ry/atom. Its space group is I4/mmm.

---

[8]
DFT (PBE) results for a geometry-optimized LaBeOs3 structure.

Structure (extended XYZ):
```
5
Lattice="4.349 0.000 0.000 0.000 4.349 0.000 0.000 0.000 4.349" Properties=species:S:1:pos:R:3 pbc="T T T"
La 0.000 0.000 0.000
Be 2.174 2.174 2.174
Os 0.000 2.174 2.174
Os 2.174 0.000 2.174
Os 2.174 2.174 0.000
```

Results
For the energy above the most stable polymorph in this dataset, the calculation gives 0.0 meV per atom. Its space group is Pm-3m. The calculation puts the formation energy at 0.465 eV/atom.

---

[9]
DFT (PBE) results for a geometry-optimized TbDyPtAu structure.

Structure (extended XYZ):
```
4
Lattice="4.604 0.000 0.000 0.000 1.890 5.351 0.000 -1.890 5.351" Properties=species:S:1:pos:R:3 pbc="T T T"
Tb 0.000 0.000 0.000
Dy 2.302 0.000 7.749
Pt 0.000 0.000 2.910
Au 2.302 0.000 4.798
```

Results
For the energy above the most stable polymorph in this dataset, the calculation gives 0.0 meV per atom. Its space group is Amm2. The calculation puts the formation energy at -1.083 eV/atom.

---

[10]
DFT (PBE) results for a geometry-optimized PbCSN2 structure.

Structure (extended XYZ):
```
5
Lattice="3.883 0.000 0.000 0.000 3.883 0.000 0.000 0.000 3.992" Properties=species:S:1:pos:R:3 pbc="T T T"
Pb 0.000 0.000 0.000
C 1.941 1.941 1.996
S 1.941 1.941 0.000
N 0.000 1.941 1.996
N 1.941 0.000 1.996
```

Results
For the energy above the most stable polymorph in this dataset, the calculation gives 0.0 meV per atom. Its space group is P4/mmm.

---

Repeat the sixth record exactly.
DFT (PBE) results for a geometry-optimized BaCaCd2 structure.

Structure (extended XYZ):
```
4
Lattice="3.991 0.000 0.000 0.000 4.117 0.000 0.000 0.000 8.084" Properties=species:S:1:pos:R:3 pbc="T T T"
Ba 0.000 0.000 0.000
Ca 0.000 0.000 4.042
Cd 1.995 2.059 2.309
Cd 1.995 2.059 5.776
```

Results
Its space group is Pmmm. The calculation puts the formation energy at -0.322 eV/atom.